Record 1
First-principles (PBE) data for a geometry-optimized LiReRh2 structure, as listed in Alexandria.

a = 3.7056 Å, b = 2.7274 Å, c = 6.1078 Å
α = 63.16°, β = 90.00°, γ = 90.00°
Closest atoms and distances in Å follow each position.
Fractional positions:
Rh  0.0000  0.5031  0.4984  4 Li 2.66-2.68, 4 Re 2.68, 4 Rh 2.71-2.74
Rh  0.0000  0.9969  0.0016  4 Li 2.66-2.68, 4 Re 2.68, 4 Rh 2.71-2.74
Li  0.5000  0.2500  0.2500  8 Rh 2.66-2.68, 2 Re 2.72, 2 Li 2.73
Re  0.5000  0.7500  0.7500  8 Rh 2.68, 2 Li 2.72, 2 Re 2.73

Output
- DOS at the Fermi energy (states/eV/cell) = 3.5
- ΔH_f (0 K) (eV per atom) = -0.065

***

Record 2
First-principles (PBE) data for a geometry-optimized TaCd2Os structure, as listed in Alexandria.

a = 3.9095 Å, b = 3.9095 Å, c = 4.7123 Å
α = 90.00°, β = 90.00°, γ = 90.00°
Closest atoms and distances in Å follow each position.
Fractional positions:
Cd  0.0000  0.0000  0.0000  4 Cd 2.76, 4 Ta 3.06, 4 Os 3.06
Cd  0.5000  0.5000  0.0000  4 Cd 2.76, 4 Ta 3.06, 4 Os 3.06
Ta  0.0000  0.5000  0.5000  4 Os 2.76, 8 Cd 3.06
Os  0.5000  0.0000  0.5000  4 Ta 2.76, 8 Cd 3.06

Output
- DOS at the Fermi energy (states/eV/cell) = 2.3
- ΔH_f (0 K) (eV per atom) = 0.394

***

Record 3
First-principles (PBE) data for a geometry-optimized Pr2Tl4In structure, as listed in Alexandria.

a = 5.9850 Å, b = 5.9850 Å, c = 7.6554 Å
α = 112.95°, β = 113.01°, γ = 90.00°
Closest atoms and distances in Å follow each position.
Fractional positions:
Pr  0.3519  0.3524  0.7038  8 Tl 3.26-3.54
Pr  0.6481  0.6476  0.2962  8 Tl 3.26-3.54
In  0.0000  0.0000  0.0000  4 Tl 2.99
Tl  0.5000  0.0000  0.0000  2 In 2.99, 2 Tl 3.19
Tl  0.0000  0.5000  0.0000  2 In 2.99, 2 Tl 3.19
Tl  0.7500  0.2491  0.5000  2 Tl 3.19, 4 Pr 3.26
Tl  0.2500  0.7509  0.5000  2 Tl 3.19, 4 Pr 3.26

Output
- DOS at the Fermi energy (states/eV/cell) = 4.7
- ΔH_f (0 K) (eV per atom) = -0.051

***

Record 4
First-principles (PBE) data for a geometry-optimized BaTa2As structure, as listed in Alexandria.

a = 4.7246 Å, b = 4.7246 Å, c = 7.0755 Å
α = 80.55°, β = 80.55°, γ = 41.84°
Closest atoms and distances in Å follow each position.
Fractional positions:
Ta  0.0241  0.0241  0.8979  2 As 2.73, 3 Ta 2.76-2.79
Ta  0.7635  0.7635  0.7332  3 As 2.65-2.73, 3 Ta 2.76-2.79
As  0.4897  0.4897  0.6050  5 Ta 2.65-2.73
Ba  0.2227  0.2227  0.2640  3 As 3.34-3.66, 1 Ta 3.37, 2 Ba 3.37

Output
- DOS at the Fermi energy (states/eV/cell) = 4.2
- ΔH_f (0 K) (eV per atom) = 0.212

***

Record 5
First-principles (PBE) data for a geometry-optimized PrPuGa2Ir2 structure, as listed in Alexandria.

a = 4.4113 Å, b = 4.4113 Å, c = 7.3544 Å
α = 90.00°, β = 90.00°, γ = 120.00°
Closest atoms and distances in Å follow each position.
Fractional positions:
Ga  0.3333  0.6667  0.2679  3 Ir 2.55
Ga  0.6667  0.3333  0.7321  3 Ir 2.55
Pr  0.0000  0.0000  0.0000  6 Ga 3.22, 6 Ir 3.33
Ir  0.3333  0.6667  0.7078  3 Ga 2.55
Ir  0.6667  0.3333  0.2922  3 Ga 2.55
Pu  0.0000  0.0000  0.5000  6 Ir 2.97, 6 Ga 3.07

Output
- DOS at the Fermi energy (states/eV/cell) = 8.4
- ΔH_f (0 K) (eV per atom) = -0.633

***

Record 6
First-principles (PBE) data for a geometry-optimized TbTmNpO6 structure, as listed in Alexandria.

a = 5.6857 Å, b = 5.6857 Å, c = 9.4994 Å
α = 90.00°, β = 90.00°, γ = 120.00°
Closest atoms and distances in Å follow each position.
Fractional positions:
Np  0.3333  0.6667  0.7500  6 O 2.08
Np  0.6667  0.3333  0.2500  6 O 2.08
O  0.3566  0.3358  0.3653  1 Np 2.08, 1 Tm 2.24
O  0.0208  0.3566  0.6347  1 Np 2.08, 1 Tm 2.24
O  0.0208  0.6642  0.8653  1 Np 2.08, 1 Tm 2.24
O  0.3566  0.0208  0.1347  1 Np 2.08, 1 Tm 2.24
O  0.6434  0.9792  0.8653  1 Np 2.08, 1 Tm 2.24
O  0.3358  0.9792  0.6347  1 Np 2.08, 1 Tm 2.24
O  0.9792  0.3358  0.1347  1 Np 2.08, 1 Tm 2.24
O  0.6434  0.6642  0.6347  1 Np 2.08, 1 Tm 2.24
O  0.6642  0.0208  0.3653  1 Np 2.08, 1 Tm 2.24
O  0.6642  0.6434  0.1347  1 Np 2.08, 1 Tm 2.24
O  0.3358  0.3566  0.8653  1 Np 2.08, 1 Tm 2.24
O  0.9792  0.6434  0.3653  1 Np 2.08, 1 Tm 2.24
Tb  0.0000  0.0000  0.0000  6 O 2.35
Tb  0.0000  0.0000  0.5000  6 O 2.35
Tm  0.6667  0.3333  0.7500  6 O 2.24
Tm  0.3333  0.6667  0.2500  6 O 2.24

Output
- E_form (uncorrected) (meV/atom) = -3233

***

Record 7
First-principles (PBE) data for a geometry-optimized La2TbPr4Mg structure, as listed in Alexandria.

a = 5.9890 Å, b = 5.9807 Å, c = 9.6817 Å
α = 51.85°, β = 90.00°, γ = 90.00°
Closest atoms and distances in Å follow each position.
Fractional positions:
La  0.5000  0.0000  0.5000  8 Pr 3.48-3.49, 2 Tb 3.81
La  0.0000  0.0000  0.0000  8 Pr 3.61, 2 Mg 3.81
Mg  0.0000  0.5000  0.5000  8 Pr 3.48-3.49, 2 La 3.81
Tb  0.5000  0.5000  0.0000  8 Pr 3.61, 2 La 3.81
Pr  0.0000  0.7650  0.7350  2 Mg 3.48-3.49, 4 La 3.49-3.61, 1 Pr 3.58, 2 Tb 3.61
Pr  0.5000  0.2648  0.7350  4 La 3.48-3.61, 2 Mg 3.49, 1 Pr 3.58, 2 Tb 3.61
Pr  0.5000  0.7352  0.2650  4 La 3.48-3.61, 2 Mg 3.49, 1 Pr 3.58, 2 Tb 3.61
Pr  0.0000  0.2350  0.2650  2 Mg 3.48-3.49, 4 La 3.49-3.61, 1 Pr 3.58, 2 Tb 3.61

Output
- DOS at the Fermi energy (states/eV/cell) = 13.8
- ΔH_f (0 K) (eV per atom) = 0.072

***

Record 8
First-principles (PBE) data for a geometry-optimized LaZr2TeIr structure, as listed in Alexandria.

a = 5.3701 Å, b = 4.8086 Å, c = 5.3701 Å
α = 90.00°, β = 90.00°, γ = 90.00°
Closest atoms and distances in Å follow each position.
Fractional positions:
La  0.0000  0.0000  0.0000  2 Ir 2.40, 4 Zr 2.69
Zr  0.0000  0.0000  0.5000  2 La 2.69
Zr  0.5000  0.0000  0.0000  2 La 2.69
Te  0.5000  0.5000  0.5000  8 Zr 3.60, 4 Ir 3.80
Ir  0.0000  0.5000  0.0000  2 La 2.40

Output
- DOS at the Fermi energy (states/eV/cell) = 5.0
- E_form (uncorrected) (meV/atom) = 1183

***

Record 9
First-principles (PBE) data for a geometry-optimized CaPa5N6 structure, as listed in Alexandria.

a = 6.0577 Å, b = 6.0542 Å, c = 6.0565 Å
α = 60.01°, β = 80.41°, γ = 70.54°
Closest atoms and distances in Å follow each position.
Fractional positions:
Pa  0.5000  0.5000  0.0000  6 N 2.44-2.48
Pa  0.0000  0.6672  0.6655  6 N 2.46-2.47
Pa  0.0000  0.3328  0.3345  6 N 2.46-2.47
Pa  0.5000  0.8359  0.3282  6 N 2.46-2.48
Pa  0.5000  0.1641  0.6718  6 N 2.46-2.48
N  0.2520  0.9159  0.6609  5 Pa 2.46-2.48, 1 Ca 2.51
N  0.7490  0.7442  0.0000  5 Pa 2.44-2.47, 1 Ca 2.51
N  0.2510  0.2558  0.0000  5 Pa 2.44-2.47, 1 Ca 2.51
N  0.2520  0.5768  0.3391  5 Pa 2.46-2.48, 1 Ca 2.51
N  0.7480  0.4232  0.6609  5 Pa 2.46-2.48, 1 Ca 2.51
N  0.7480  0.0841  0.3391  5 Pa 2.46-2.48, 1 Ca 2.51
Ca  0.0000  0.0000  0.0000  6 N 2.51

Output
- DOS at the Fermi energy (states/eV/cell) = 8.2
- E_form (uncorrected) (meV/atom) = -1543

***

Record 10
First-principles (PBE) data for a geometry-optimized Rb2TcW structure, as listed in Alexandria.

a = 13.3855 Å, b = 13.3855 Å, c = 9.7364 Å
α = 46.58°, β = 46.58°, γ = 90.00°
Closest atoms and distances in Å follow each position.
Fractional positions:
Rb  0.8750  0.6994  0.7500  2 Tc 3.54, 2 W 3.89
Rb  0.3750  0.5506  0.7500  2 Tc 3.54, 2 W 3.89
Rb  0.3006  0.6250  0.2500  2 Tc 3.54, 2 W 3.89
Rb  0.4494  0.1250  0.2500  2 Tc 3.54, 2 W 3.89
Tc  0.2500  0.7500  0.5000  2 W 2.28
Tc  0.5000  0.5000  0.0000  2 W 2.28
W  0.0000  0.0000  0.0000  2 Tc 2.28
W  0.7500  0.2500  0.5000  2 Tc 2.28

Output
- DOS at the Fermi energy (states/eV/cell) = 9.5
- ΔH_f (0 K) (eV per atom) = 1.729

***

Record 11
First-principles (PBE) data for a geometry-optimized LaMg2P2 structure, as listed in Alexandria.

a = 7.7465 Å, b = 7.7465 Å, c = 3.5729 Å
α = 90.00°, β = 90.00°, γ = 90.00°
Closest atoms and distances in Å follow each position.
Fractional positions:
P  0.8436  0.6564  0.0000  6 Mg 2.89, 2 La 2.92
P  0.1564  0.3436  0.0000  6 Mg 2.89, 2 La 2.92
P  0.6564  0.1564  0.0000  6 Mg 2.89, 2 La 2.92
P  0.3436  0.8436  0.0000  6 Mg 2.89, 2 La 2.92
La  0.0000  0.0000  0.0000  4 P 2.92
La  0.5000  0.5000  0.0000  4 P 2.92
Mg  0.8635  0.3635  0.5000  6 P 2.89, 1 Mg 2.99
Mg  0.3635  0.1365  0.5000  6 P 2.89, 1 Mg 2.99
Mg  0.1365  0.6365  0.5000  6 P 2.89, 1 Mg 2.99
Mg  0.6365  0.8635  0.5000  6 P 2.89, 1 Mg 2.99

Output
- DOS at the Fermi energy (states/eV/cell) = 5.8
- ΔH_f (0 K) (eV per atom) = -0.566

***

Record 12
First-principles (PBE) data for a geometry-optimized BeSe2BrCl structure, as listed in Alexandria.

a = 5.1625 Å, b = 5.0837 Å, c = 5.1625 Å
α = 90.00°, β = 90.00°, γ = 90.00°
Closest atoms and distances in Å follow each position.
Fractional positions:
Br  0.0000  0.0000  0.0000  2 Cl 2.54, 4 Se 2.58
Be  0.5000  0.5000  0.5000  8 Se 3.62, 4 Cl 3.65
Cl  0.0000  0.5000  0.0000  2 Br 2.54
Se  0.0000  0.0000  0.5000  2 Br 2.58
Se  0.5000  0.0000  0.0000  2 Br 2.58

Output
- DOS at the Fermi energy (states/eV/cell) = 2.7
- E_form (uncorrected) (meV/atom) = 1109

***

The calculation returns the following raw total energy values, one per record and in order: -7.33, -5.83, -3.16, -7.36, -7.78, -8.99, -4.33, -5.62, -9.83, -4.58, -4.35, -1.73 eV per atom.
The calculation returns the following M_tot values, one per record and in order: 0.00, 0.00, 0.00, 0.00, 4.95, 2.00, 0.00, 0.00, 0.00, 0.57, 0.00, 0.00 μB per cell.